Entry 1:
# NdTm3Co, optimized geometry, DFT PBE-GGA
# calculated volume: 134 Å³/f.u.
# crystal system: monoclinic
# ΔE_f: -114 meV/atom
# DOS(E_F): 5.5 states/eV/f.u.
data_NdTm3Co
_cell_length_a 13.075
_cell_length_b 3.710
_cell_length_c 11.038
_cell_angle_alpha 90.00
_cell_angle_beta 90.83
_cell_angle_gamma 90.00
_space_group_name_H-M_alt 'C 1 2/m 1'
_space_group_IT_number 12
loop_
_space_group_symop_operation_xyz
'x,y,z'
'-x,-y,-z'
'-x,y,-z'
'x,-y,z'
'x+1/2,y+1/2,z'
'-x+1/2,-y+1/2,-z'
'-x+1/2,y+1/2,-z'
'x+1/2,-y+1/2,z'
loop_
_atom_site_label
_atom_site_type_symbol
_atom_site_fract_x
_atom_site_fract_y
_atom_site_fract_z
Nd1 Nd 0.166 0.000 0.091
Tm1 Tm 0.061 0.000 0.373
Tm2 Tm 0.065 0.500 0.840
Tm3 Tm 0.216 0.000 0.635
Co1 Co 0.085 0.500 0.560


Entry 2:
# La2Cu3SiNi12, optimized geometry, DFT PBE-GGA
# E_form (uncorrected): 1.9 eV/f.u.
# calculated volume: 265 Å³/f.u.
# crystal system: trigonal
# DOS(E_F): 20.2 states/eV/f.u.
data_La2Cu3SiNi12
_cell_length_a 6.0628
_cell_length_b 6.0628
_cell_length_c 24.9600
_cell_angle_alpha 90.00
_cell_angle_beta 90.00
_cell_angle_gamma 120.00
_space_group_name_H-M_alt 'R -3 m'
_space_group_IT_number 166
_space_group_name_Hall '-R 3 2"'
loop_
_atom_site_label
_atom_site_type_symbol
_atom_site_fract_x
_atom_site_fract_y
_atom_site_fract_z
La1 La 0.0000 0.0000 0.1578
Cu1 Cu 0.0000 0.5000 0.0000
Si1 Si 0.0000 0.0000 0.5000
Ni1 Ni 0.0603 0.5301 0.0963
Ni2 Ni 0.0743 0.5372 0.6148


Entry 3:
# AcPr3Pd2, optimized geometry, DFT PBE-GGA
# calculated volume: 184 Å³/f.u.
# crystal system: monoclinic
# ΔE_f: -491 meV/atom
# DOS(E_F): 6.0 states/eV/f.u.
data_AcPr3Pd2
_cell_length_a 18.344
_cell_length_b 4.194
_cell_length_c 10.702
_cell_angle_alpha 90.00
_cell_angle_beta 116.85
_cell_angle_gamma 90.00
_space_group_name_H-M_alt 'C 1 2/m 1'
_space_group_IT_number 12
loop_
_space_group_symop_operation_xyz
'x,y,z'
'-x,-y,-z'
'-x,y,-z'
'x,-y,z'
'x+1/2,y+1/2,z'
'-x+1/2,-y+1/2,-z'
'-x+1/2,y+1/2,-z'
'x+1/2,-y+1/2,z'
loop_
_atom_site_label
_atom_site_type_symbol
_atom_site_fract_x
_atom_site_fract_y
_atom_site_fract_z
Ac1 Ac 0.108 0.000 0.018
Pr1 Pr 0.057 0.000 0.388
Pr2 Pr 0.136 0.500 0.733
Pr3 Pr 0.215 0.500 0.351
Pd1 Pd 0.026 0.500 0.162
Pd2 Pd 0.246 0.500 0.086


Entry 4:
# ThSiRh4, optimized geometry, DFT PBE-GGA
# E_form (uncorrected): -4.3 eV/f.u.
# calculated volume: 101 Å³/f.u.
# crystal system: orthorhombic
# DOS(E_F): 6.0 states/eV/f.u.
data_ThSiRh4
_cell_length_a 7.491
_cell_length_b 3.884
_cell_length_c 6.919
_cell_angle_alpha 90.00
_cell_angle_beta 90.00
_cell_angle_gamma 90.00
_space_group_name_H-M_alt 'P m m a'
_space_group_IT_number 51
loop_
_space_group_symop_operation_xyz
'x,y,z'
'-x,-y,-z'
'-x+1/2,-y,z'
'x+1/2,y,-z'
'x+1/2,-y,-z'
'-x+1/2,y,z'
'-x,y,-z'
'x,-y,z'
loop_
_atom_site_label
_atom_site_type_symbol
_atom_site_fract_x
_atom_site_fract_y
_atom_site_fract_z
Th1 Th 0.250 0.000 0.138
Si1 Si 0.250 0.000 0.705
Rh1 Rh 0.000 0.000 0.500
Rh2 Rh 0.060 0.500 0.801
Rh3 Rh 0.250 0.500 0.445


Entry 5:
# TiGe4Mo, optimized geometry, DFT PBE-GGA
# calculated volume: 95 Å³/f.u.
# crystal system: monoclinic
# ΔE_f: -235 meV/atom
# DOS(E_F): 2.4 states/eV/f.u.
data_TiGe4Mo
_cell_length_a 9.086
_cell_length_b 3.333
_cell_length_c 6.743
_cell_angle_alpha 90.00
_cell_angle_beta 111.73
_cell_angle_gamma 90.00
_space_group_name_H-M_alt 'C 1 2/m 1'
_space_group_IT_number 12
loop_
_space_group_symop_operation_xyz
'x,y,z'
'-x,-y,-z'
'-x,y,-z'
'x,-y,z'
'x+1/2,y+1/2,z'
'-x+1/2,-y+1/2,-z'
'-x+1/2,y+1/2,-z'
'x+1/2,-y+1/2,z'
loop_
_atom_site_label
_atom_site_type_symbol
_atom_site_fract_x
_atom_site_fract_y
_atom_site_fract_z
Ti1 Ti 0.000 0.000 0.000
Ge1 Ge 0.161 0.500 0.827
Ge2 Ge 0.162 0.500 0.333
Mo1 Mo 0.000 0.000 0.500


Entry 6:
# AcPu2Ir, optimized geometry, DFT PBE-GGA
# calculated volume: 132 Å³/f.u.
# crystal system: trigonal
# ΔE_f: 47 meV/atom
# DOS(E_F): 15.4 states/eV/f.u.
data_AcPu2Ir
_cell_length_a 3.8728
_cell_length_b 3.8728
_cell_length_c 30.5467
_cell_angle_alpha 90.00
_cell_angle_beta 90.00
_cell_angle_gamma 120.00
_space_group_name_H-M_alt 'R -3 m'
_space_group_IT_number 166
_space_group_name_Hall '-R 3 2"'
loop_
_atom_site_label
_atom_site_type_symbol
_atom_site_fract_x
_atom_site_fract_y
_atom_site_fract_z
Ac1 Ac 0.0000 0.0000 0.0000
Pu1 Pu 0.0000 0.0000 0.1139
Ir1 Ir 0.0000 0.0000 0.5000


Entry 7:
# Ba6AgP2Cl3, optimized geometry, DFT PBE-GGA
# E_form (uncorrected): -16.9 eV/f.u.
# calculated volume: 442 Å³/f.u.
# crystal system: monoclinic
# DOS(E_F): 6.6 states/eV/f.u.
data_Ba6AgP2Cl3
_cell_length_a 20.343
_cell_length_b 4.669
_cell_length_c 9.587
_cell_angle_alpha 90.00
_cell_angle_beta 103.98
_cell_angle_gamma 90.00
_space_group_name_H-M_alt 'C 1 2/m 1'
_space_group_IT_number 12
loop_
_space_group_symop_operation_xyz
'x,y,z'
'-x,-y,-z'
'-x,y,-z'
'x,-y,z'
'x+1/2,y+1/2,z'
'-x+1/2,-y+1/2,-z'
'-x+1/2,y+1/2,-z'
'x+1/2,-y+1/2,z'
loop_
_atom_site_label
_atom_site_type_symbol
_atom_site_fract_x
_atom_site_fract_y
_atom_site_fract_z
Ba1 Ba 0.005 0.000 0.256
Ba2 Ba 0.166 0.500 0.108
Ba3 Ba 0.173 0.500 0.568
Ag1 Ag 0.000 0.500 0.000
P1 P 0.164 0.000 0.334
Cl1 Cl 0.000 0.500 0.500
Cl2 Cl 0.170 0.000 0.833


Entry 8:
# YIn4P, optimized geometry, DFT PBE-GGA
# calculated volume: 152 Å³/f.u.
# crystal system: orthorhombic
# ΔE_f: -170 meV/atom
# DOS(E_F): 3.4 states/eV/f.u.
data_YIn4P
_cell_length_a 3.721
_cell_length_b 16.827
_cell_length_c 9.686
_cell_angle_alpha 90.00
_cell_angle_beta 90.00
_cell_angle_gamma 90.00
_space_group_name_H-M_alt 'C m c m'
_space_group_IT_number 63
_space_group_name_Hall '-C 2c 2'
loop_
_atom_site_label
_atom_site_type_symbol
_atom_site_fract_x
_atom_site_fract_y
_atom_site_fract_z
Y1 Y 0.000 0.125 0.250
In1 In 0.000 0.068 0.750
In2 In 0.000 0.318 0.054
In3 In 0.000 0.500 0.000
P1 P 0.000 0.255 0.750


Entry 9:
# LaNdPu2N4, optimized geometry, DFT PBE-GGA
# E_form (uncorrected): -10.1 eV/f.u.
# calculated volume: 129 Å³/f.u.
# crystal system: monoclinic
# DOS(E_F): 14.3 states/eV/f.u.
data_LaNdPu2N4
_cell_length_a 6.200
_cell_length_b 3.555
_cell_length_c 6.211
_cell_angle_alpha 90.00
_cell_angle_beta 109.96
_cell_angle_gamma 90.00
_space_group_name_H-M_alt 'P 1 2/m 1'
_space_group_IT_number 10
loop_
_space_group_symop_operation_xyz
'x,y,z'
'-x,-y,-z'
'-x,y,-z'
'x,-y,z'
loop_
_atom_site_label
_atom_site_type_symbol
_atom_site_fract_x
_atom_site_fract_y
_atom_site_fract_z
La1 La 0.000 0.000 0.000
Nd1 Nd 0.500 0.500 0.000
Pu1 Pu 0.000 0.500 0.500
Pu2 Pu 0.500 0.000 0.500
N1 N 0.238 0.000 0.720
N2 N 0.271 0.500 0.282


Entry 10:
# KHg3Te3, optimized geometry, DFT PBE-GGA
# E_form (uncorrected): -0.7 eV/f.u.
# calculated volume: 246 Å³/f.u.
# crystal system: hexagonal
# DOS(E_F): 2.5 states/eV/f.u.
data_KHg3Te3
_cell_length_a 13.2533
_cell_length_b 13.2533
_cell_length_c 3.2288
_cell_angle_alpha 90.00
_cell_angle_beta 90.00
_cell_angle_gamma 120.00
_space_group_name_H-M_alt 'P 63/m'
_space_group_IT_number 176
_space_group_name_Hall '-P 6c'
loop_
_atom_site_label
_atom_site_type_symbol
_atom_site_fract_x
_atom_site_fract_y
_atom_site_fract_z
K1 K 0.3333 0.6667 0.2500
Hg1 Hg 0.0708 0.8494 0.7500
Te1 Te 0.0679 0.6295 0.7500


Entry 11:
# NaMo2As, optimized geometry, DFT PBE-GGA
# calculated volume: 76 Å³/f.u.
# crystal system: tetragonal
# ΔE_f: 703 meV/atom
# DOS(E_F): 2.5 states/eV/f.u.
data_NaMo2As
_cell_length_a 3.939
_cell_length_b 3.939
_cell_length_c 19.474
_cell_angle_alpha 90.00
_cell_angle_beta 90.00
_cell_angle_gamma 90.00
_space_group_name_H-M_alt 'I -4 2 d'
_space_group_IT_number 122
_space_group_name_Hall 'I -4 2bw'
loop_
_atom_site_label
_atom_site_type_symbol
_atom_site_fract_x
_atom_site_fract_y
_atom_site_fract_z
Na1 Na 0.000 0.000 0.000
Mo1 Mo 0.181 0.250 0.625
As1 As 0.000 0.000 0.500


Entry 12:
# KThMnTe4, optimized geometry, DFT PBE-GGA
# E_form (uncorrected): -5.8 eV/f.u.
# calculated volume: 245 Å³/f.u.
# crystal system: monoclinic
# DOS(E_F): 1.2 states/eV/f.u.
data_KThMnTe4
_cell_length_a 7.785
_cell_length_b 6.477
_cell_length_c 10.239
_cell_angle_alpha 90.00
_cell_angle_beta 108.52
_cell_angle_gamma 90.00
_space_group_name_H-M_alt 'P 1 21/m 1'
_space_group_IT_number 11
loop_
_space_group_symop_operation_xyz
'x,y,z'
'-x,-y,-z'
'-x,y+1/2,-z'
'x,-y+1/2,z'
loop_
_atom_site_label
_atom_site_type_symbol
_atom_site_fract_x
_atom_site_fract_y
_atom_site_fract_z
K1 K 0.243 0.250 0.446
Th1 Th 0.235 0.250 0.942
Mn1 Mn 0.242 0.750 0.178
Te1 Te 0.055 0.750 0.350
Te2 Te 0.069 0.750 0.908
Te3 Te 0.478 0.509 0.790


Entry 13:
# Rb2SnGeS4, optimized geometry, DFT PBE-GGA
# E_form (uncorrected): -5.4 eV/f.u.
# calculated volume: 272 Å³/f.u.
# crystal system: orthorhombic
data_Rb2SnGeS4
_cell_length_a 6.536
_cell_length_b 14.441
_cell_length_c 23.029
_cell_angle_alpha 90.00
_cell_angle_beta 90.00
_cell_angle_gamma 90.00
_space_group_name_H-M_alt 'F d d d'
_space_group_IT_number 70
loop_
_space_group_symop_operation_xyz
'x,y,z'
'-x,-y,-z'
'-x+1/4,-y+1/4,z'
'x+1/4,y+1/4,-z'
'x,-y+1/4,-z+1/4'
'-x,y+1/4,z+1/4'
'-x+1/4,y,-z+1/4'
'x+1/4,-y,z+1/4'
'x,y+1/2,z+1/2'
'-x,-y+1/2,-z+1/2'
'-x+1/4,-y+3/4,z+1/2'
'x+1/4,y+3/4,-z+1/2'
'x,-y+3/4,-z+3/4'
'-x,y+3/4,z+3/4'
'-x+1/4,y+1/2,-z+3/4'
'x+1/4,-y+1/2,z+3/4'
'x+1/2,y,z+1/2'
'-x+1/2,-y,-z+1/2'
'-x+3/4,-y+1/4,z+1/2'
'x+3/4,y+1/4,-z+1/2'
'x+1/2,-y+1/4,-z+3/4'
'-x+1/2,y+1/4,z+3/4'
'-x+3/4,y,-z+3/4'
'x+3/4,-y,z+3/4'
'x+1/2,y+1/2,z'
'-x+1/2,-y+1/2,-z'
'-x+3/4,-y+3/4,z'
'x+3/4,y+3/4,-z'
'x+1/2,-y+3/4,-z+1/4'
'-x+1/2,y+3/4,z+1/4'
'-x+3/4,y+1/2,-z+1/4'
'x+3/4,-y+1/2,z+1/4'
loop_
_atom_site_label
_atom_site_type_symbol
_atom_site_fract_x
_atom_site_fract_y
_atom_site_fract_z
Rb1 Rb 0.125 0.125 0.307
Sn1 Sn 0.125 0.125 0.125
Ge1 Ge 0.125 0.125 0.625
S1 S 0.096 0.277 0.432


Entry 14:
# SrY2W, optimized geometry, DFT PBE-GGA
# calculated volume: 124 Å³/f.u.
# crystal system: monoclinic
# ΔE_f: 434 meV/atom
# DOS(E_F): 7.0 states/eV/f.u.
data_SrY2W
_cell_length_a 3.555
_cell_length_b 3.554
_cell_length_c 9.826
_cell_angle_alpha 90.00
_cell_angle_beta 90.05
_cell_angle_gamma 90.00
_space_group_name_H-M_alt 'P 1 2/m 1'
_space_group_IT_number 10
loop_
_space_group_symop_operation_xyz
'x,y,z'
'-x,-y,-z'
'-x,y,-z'
'x,-y,z'
loop_
_atom_site_label
_atom_site_type_symbol
_atom_site_fract_x
_atom_site_fract_y
_atom_site_fract_z
Sr1 Sr 0.000 0.000 0.000
Y1 Y 0.500 0.500 0.327
W1 W 0.000 0.000 0.500


Entry 15:
# BaYPb2, optimized geometry, DFT PBE-GGA
# calculated volume: 135 Å³/f.u.
# crystal system: cubic
# ΔE_f: -27 meV/atom
# DOS(E_F): 4.7 states/eV/f.u.
data_BaYPb2
_cell_length_a 8.144
_cell_length_b 8.144
_cell_length_c 8.144
_cell_angle_alpha 90.00
_cell_angle_beta 90.00
_cell_angle_gamma 90.00
_space_group_name_H-M_alt 'F -4 3 m'
_space_group_IT_number 216
_space_group_name_Hall 'F -4 2 3'
loop_
_atom_site_label
_atom_site_type_symbol
_atom_site_fract_x
_atom_site_fract_y
_atom_site_fract_z
Ba1 Ba 0.000 0.000 0.000
Y1 Y 0.250 0.250 0.250
Pb1 Pb 0.000 0.000 0.500
Pb2 Pb 0.250 0.250 0.750


Entry 16:
# CaLa3Pm4, optimized geometry, DFT PBE-GGA
# calculated volume: 288 Å³/f.u.
# crystal system: orthorhombic
# ΔE_f: 42 meV/atom
# DOS(E_F): 11.5 states/eV/f.u.
data_CaLa3Pm4
_cell_length_a 7.440
_cell_length_b 10.430
_cell_length_c 7.422
_cell_angle_alpha 90.00
_cell_angle_beta 90.00
_cell_angle_gamma 90.00
_space_group_name_H-M_alt 'P m n a'
_space_group_IT_number 53
loop_
_space_group_symop_operation_xyz
'x,y,z'
'-x,-y,-z'
'-x+1/2,-y,z+1/2'
'x+1/2,y,-z+1/2'
'x,-y,-z'
'-x,y,z'
'-x+1/2,y,-z+1/2'
'x+1/2,-y,z+1/2'
loop_
_atom_site_label
_atom_site_type_symbol
_atom_site_fract_x
_atom_site_fract_y
_atom_site_fract_z
Ca1 Ca 0.000 0.000 0.000
La1 La 0.000 0.500 0.000
La2 La 0.250 0.255 0.250
Pm1 Pm 0.000 0.000 0.500
Pm2 Pm 0.000 0.500 0.500
Pm3 Pm 0.250 0.254 0.750


Entry 17:
# La2Ho2Cd, optimized geometry, DFT PBE-GGA
# calculated volume: 157 Å³/f.u.
# crystal system: tetragonal
# ΔE_f: -109 meV/atom
# DOS(E_F): 7.1 states/eV/f.u.
data_La2Ho2Cd
_cell_length_a 3.677
_cell_length_b 3.677
_cell_length_c 23.253
_cell_angle_alpha 90.00
_cell_angle_beta 90.00
_cell_angle_gamma 90.00
_space_group_name_H-M_alt 'I 4/m m m'
_space_group_IT_number 139
_space_group_name_Hall '-I 4 2'
loop_
_atom_site_label
_atom_site_type_symbol
_atom_site_fract_x
_atom_site_fract_y
_atom_site_fract_z
La1 La 0.000 0.000 0.192
Ho1 Ho 0.000 0.000 0.417
Cd1 Cd 0.000 0.000 0.000


Entry 18:
# TlCuW2, optimized geometry, DFT PBE-GGA
# calculated volume: 67 Å³/f.u.
# crystal system: tetragonal
# ΔE_f: 805 meV/atom
# DOS(E_F): 2.6 states/eV/f.u.
data_TlCuW2
_cell_length_a 4.098
_cell_length_b 4.098
_cell_length_c 7.931
_cell_angle_alpha 90.00
_cell_angle_beta 90.00
_cell_angle_gamma 90.00
_space_group_name_H-M_alt 'I -4 m 2'
_space_group_IT_number 119
_space_group_name_Hall 'I -4 -2'
loop_
_atom_site_label
_atom_site_type_symbol
_atom_site_fract_x
_atom_site_fract_y
_atom_site_fract_z
Tl1 Tl 0.000 0.000 0.000
Cu1 Cu 0.000 0.500 0.250
W1 W 0.000 0.000 0.500
W2 W 0.000 0.500 0.750


Entry 19:
# LaMg2TlPd, optimized geometry, DFT PBE-GGA
# calculated volume: 143 Å³/f.u.
# crystal system: tetragonal
# ΔE_f: -323 meV/atom
# DOS(E_F): 5.5 states/eV/f.u.
data_LaMg2TlPd
_cell_length_a 5.130
_cell_length_b 5.130
_cell_length_c 5.433
_cell_angle_alpha 90.00
_cell_angle_beta 90.00
_cell_angle_gamma 90.00
_space_group_name_H-M_alt 'P 4/m m m'
_space_group_IT_number 123
_space_group_name_Hall '-P 4 2'
loop_
_atom_site_label
_atom_site_type_symbol
_atom_site_fract_x
_atom_site_fract_y
_atom_site_fract_z
La1 La 0.000 0.000 0.000
Mg1 Mg 0.000 0.500 0.500
Tl1 Tl 0.500 0.500 0.000
Pd1 Pd 0.000 0.000 0.500


Entry 20:
# PmPr2Nd2Ho2, optimized geometry, DFT PBE-GGA
# calculated volume: 239 Å³/f.u.
# crystal system: monoclinic
# ΔE_f: 15 meV/atom
# DOS(E_F): 10.3 states/eV/f.u.
data_PmPr2Nd2Ho2
_cell_length_a 11.485
_cell_length_b 5.147
_cell_length_c 8.171
_cell_angle_alpha 90.00
_cell_angle_beta 98.08
_cell_angle_gamma 90.00
_space_group_name_H-M_alt 'C 1 2/m 1'
_space_group_IT_number 12
loop_
_space_group_symop_operation_xyz
'x,y,z'
'-x,-y,-z'
'-x,y,-z'
'x,-y,z'
'x+1/2,y+1/2,z'
'-x+1/2,-y+1/2,-z'
'-x+1/2,y+1/2,-z'
'x+1/2,-y+1/2,z'
loop_
_atom_site_label
_atom_site_type_symbol
_atom_site_fract_x
_atom_site_fract_y
_atom_site_fract_z
Pm1 Pm 0.000 0.000 0.000
Pr1 Pr 0.142 0.000 0.428
Nd1 Nd 0.214 0.500 0.142
Ho1 Ho 0.072 0.500 0.714